Here is MgZr2CdS at its PBEsol-relaxed geometry from Alexandria. Energies are from meta-GGA SCAN.

```
data_MgZr2CdS
_chemical_formula_sum 'Mg1 Zr2 Cd1 S1'
_space_group_name_H-M_alt 'P 1'
_space_group_IT_number 1
_space_group_name_Hall 'P 1'
_cell_length_a 4.779
_cell_length_b 4.779
_cell_length_c 5.019
_cell_angle_alpha 90.00
_cell_angle_beta 90.00
_cell_angle_gamma 90.00
loop_
_atom_site_label
_atom_site_type_symbol
_atom_site_fract_x
_atom_site_fract_y
_atom_site_fract_z
Mg1 Mg 0.000 0.000 0.000
Zr1 Zr 0.000 0.500 0.500
Zr2 Zr 0.500 0.000 0.500
Cd1 Cd 0.500 0.500 0.000
S1 S 0.500 0.500 0.500
```

Summary:
- ΔE_f (raw): -220 meV per atom
- DFT total energy: -107.513 eV/cell

Here is ScTiRu2 at its PBEsol-relaxed geometry from Alexandria. Energies are from meta-GGA SCAN.

```
data_ScTiRu2
_chemical_formula_sum 'Sc4 Ti4 Ru8'
_space_group_name_H-M_alt 'P 1'
_space_group_IT_number 1
_space_group_name_Hall 'P 1'
_cell_length_a 6.197
_cell_length_b 6.197
_cell_length_c 6.197
_cell_angle_alpha 90.00
_cell_angle_beta 90.00
_cell_angle_gamma 90.00
loop_
_atom_site_label
_atom_site_type_symbol
_atom_site_fract_x
_atom_site_fract_y
_atom_site_fract_z
Sc1 Sc 0.000 0.000 0.000
Sc2 Sc 0.000 0.500 0.500
Sc3 Sc 0.500 0.000 0.500
Sc4 Sc 0.500 0.500 0.000
Ti1 Ti 0.000 0.000 0.500
Ti2 Ti 0.000 0.500 0.000
Ti3 Ti 0.500 0.000 0.000
Ti4 Ti 0.500 0.500 0.500
Ru1 Ru 0.250 0.250 0.250
Ru2 Ru 0.250 0.250 0.750
Ru3 Ru 0.250 0.750 0.250
Ru4 Ru 0.250 0.750 0.750
Ru5 Ru 0.750 0.250 0.250
Ru6 Ru 0.750 0.250 0.750
Ru7 Ru 0.750 0.750 0.250
Ru8 Ru 0.750 0.750 0.750
```

Summary:
- Formation energy: -0.782 eV per atom
- DFT total energy: -412.184 eV/cell

Here is BaMn2 at its PBEsol-relaxed geometry from Alexandria. Energies are from meta-GGA SCAN.

```
data_BaMn2
_chemical_formula_sum 'Ba4 Mn8'
_space_group_name_H-M_alt 'P 1'
_space_group_IT_number 1
_space_group_name_Hall 'P 1'
_cell_length_a 6.850
_cell_length_b 3.954
_cell_length_c 10.845
_cell_angle_alpha 90.00
_cell_angle_beta 101.85
_cell_angle_gamma 90.00
loop_
_atom_site_label
_atom_site_type_symbol
_atom_site_fract_x
_atom_site_fract_y
_atom_site_fract_z
Ba1 Ba 0.000 0.000 0.000
Ba2 Ba 0.202 0.000 0.629
Ba3 Ba 0.500 0.500 0.000
Ba4 Ba 0.702 0.500 0.629
Mn1 Mn 0.100 0.000 0.306
Mn2 Mn 0.257 0.500 0.280
Mn3 Mn 0.399 0.000 0.203
Mn4 Mn 0.468 0.000 0.416
Mn5 Mn 0.600 0.500 0.306
Mn6 Mn 0.757 0.000 0.280
Mn7 Mn 0.899 0.500 0.203
Mn8 Mn 0.968 0.500 0.416
```

Summary:
- Formation energy: 0.361 eV per atom
- DFT total energy: -299.908 eV/cell